# 1
Material: Pm3AlAg4S8
Method: DFT, PBE
State: relaxed

Structure (POSCAR):
```
Pm3AlAg4S8
1.0
7.1660 -4.0634 0.0000
7.1660 4.0634 0.0000
-5.8206 0.0000 7.3315
Pm Al Ag S
3 1 4 8
direct
0.0000 0.0000 0.0000
0.0000 0.5000 0.0000
0.5000 0.0000 0.0000
0.5000 0.5000 0.0000
0.0000 0.0000 0.5000
0.0000 0.5000 0.5000
0.5000 0.0000 0.5000
0.5000 0.5000 0.5000
0.0847 0.0847 0.8070
0.1309 0.5699 0.8176
0.4247 0.4247 0.1897
0.4301 0.8691 0.1824
0.5699 0.1309 0.8176
0.5753 0.5753 0.8103
0.8691 0.4301 0.1824
0.9153 0.9153 0.1930
```

***

# 2
Material: Pm3AlAg3S8
Method: DFT, PBE
State: relaxed

Structure (POSCAR):
```
Pm3AlAg3S8
1.0
6.4732 -4.0452 0.0000
6.4732 4.0452 0.0000
-4.0063 0.0000 6.5483
Pm Al Ag S
3 1 3 8
direct
0.0000 0.0000 0.0000
0.0000 0.5000 0.5000
0.5000 0.0000 0.5000
0.5000 0.5000 0.0000
0.0000 0.5000 0.0000
0.5000 0.0000 0.0000
0.5000 0.5000 0.5000
0.2487 0.2487 0.2540
0.2760 0.7149 0.2215
0.2765 0.2765 0.7833
0.2851 0.7240 0.7785
0.7149 0.2760 0.2215
0.7235 0.7235 0.2167
0.7240 0.2851 0.7785
0.7513 0.7513 0.7460
```

***

# 3
Material: PmAlAg2Se4
Method: DFT, PBE
State: relaxed

Structure (POSCAR):
```
PmAlAg2Se4
1.0
5.5648 -5.8072 0.0000
5.5648 5.8072 0.0000
-5.2472 0.0000 5.8466
Pm Al Ag Se
2 2 4 8
direct
0.0000 0.5000 0.0000
0.5000 0.0000 0.5000
0.0000 0.0000 0.0000
0.0000 0.0000 0.5000
0.0000 0.5000 0.5000
0.5000 0.0000 0.0000
0.5000 0.5000 0.0000
0.5000 0.5000 0.5000
0.2190 0.7682 0.5016
0.2219 0.2292 0.4384
0.2292 0.2219 0.9384
0.2318 0.7810 0.9984
0.7682 0.2190 0.0016
0.7708 0.7781 0.0616
0.7781 0.7708 0.5616
0.7810 0.2318 0.4984
```

***

The calculation returns the following energy values, one per record and in order: -79.57; -76.31; -68.51 eV for the cell shown.
The calculation returns the following formation energy without anion corrections values, one per record and in order: -1655; -1615; -591 kJ/mol of formula units.